# 1
# SmTmN

A geometry-optimized SmTmN structure (PBE-GGA, Alexandria).

```
SmTmN
1.0
0.0000 3.0176 3.0176
3.0176 0.0000 3.0176
3.0176 3.0176 0.0000
Sm Tm N
1 1 1
direct
0.0000 0.0000 0.0000 Sm
0.5000 0.5000 0.5000 Tm
0.2500 0.2500 0.2500 N
```

Computed properties:
Formation energy (no corrections), meV per atom: -286.9
Energy above the most stable polymorph in this dataset, eV per formula unit: 2.261
Size of the total moment, μB/cell: 0.00
Electronic total energy, eV per formula unit: -18.377
Space group: No. 216

# 2
# SmTm3N

A geometry-optimized SmTm3N structure (PBE-GGA, Alexandria).

```
SmTm3N
1.0
4.9032 0.0000 0.0000
0.0000 4.9032 0.0000
0.0000 0.0000 4.9032
Sm Tm N
1 3 1
direct
0.0000 0.0000 0.0000 Sm
0.0000 0.5000 0.5000 Tm
0.5000 0.0000 0.5000 Tm
0.5000 0.5000 0.0000 Tm
0.5000 0.5000 0.5000 N
```

Computed properties:
Formation energy (no corrections), meV per atom: -516.9
Size of the total moment, μB/cell: 0.00
Electronic total energy, eV per formula unit: -29.044
Space group: No. 221

# 3
# SmTmN2

A geometry-optimized SmTmN2 structure (PBE-GGA, Alexandria).

```
SmTmN2
1.0
1.7194 0.9927 5.9699
-1.7194 0.9927 5.9699
0.0000 -1.9853 5.9699
Sm Tm N
1 1 2
direct
0.0000 0.0000 0.0000 Sm
0.1705 0.1705 0.1705 Tm
0.4259 0.4259 0.4259 N
0.5882 0.5882 0.5882 N
```

Computed properties:
Formation energy (no corrections), meV per atom: -1368.1
Size of the total moment, μB/cell: 0.00
Electronic total energy, eV per formula unit: -31.314
Space group: No. 160

# 4
# Sm3Tm2N4

A geometry-optimized Sm3Tm2N4 structure (PBE-GGA, Alexandria).

```
Sm3Tm2N4
1.0
3.0353 -1.7526 0.0000
3.0353 1.7526 0.0000
-0.0183 0.0000 14.6624
Sm Tm N
3 2 4
direct
0.0000 0.0000 0.0000 Sm
0.3343 0.3343 0.3809 Sm
0.6657 0.6657 0.6191 Sm
0.3328 0.3328 0.8099 Tm
0.6672 0.6672 0.1901 Tm
0.0008 0.0008 0.2922 N
0.3336 0.3336 0.1047 N
0.6664 0.6664 0.8953 N
0.9992 0.9992 0.7078 N
```

Computed properties:
Formation energy (no corrections), meV per atom: -1420.1
Size of the total moment, μB/cell: 0.22
Electronic total energy, eV per formula unit: -69.183
Space group: No. 12

# 5
# SmTmN

A geometry-optimized SmTmN structure (PBE-GGA, Alexandria).

```
SmTmN
1.0
-1.5666 1.5666 6.2870
1.5666 -1.5666 6.2870
1.5666 1.5666 -6.2870
Sm Tm N
1 1 1
direct
0.0000 0.0000 0.0000 Sm
0.7606 0.7606 0.0000 Tm
0.3255 0.3255 0.0000 N
```

Computed properties:
Formation energy (no corrections), meV per atom: -443.7
Energy above the most stable polymorph in this dataset, eV per formula unit: 1.791
Size of the total moment, μB/cell: 0.00
Electronic total energy, eV per formula unit: -18.847
Space group: No. 107

# 6
# Sm4Tm2N

A geometry-optimized Sm4Tm2N structure (PBE-GGA, Alexandria).

```
Sm4Tm2N
1.0
-2.4617 2.4617 8.7437
2.4617 -2.4617 8.7437
2.4617 2.4617 -8.7437
Sm Tm N
4 2 1
direct
0.0000 0.5000 0.5000 Sm
0.1358 0.1358 0.0000 Sm
0.5000 0.0000 0.5000 Sm
0.8642 0.8642 0.0000 Sm
0.3368 0.3368 0.0000 Tm
0.6632 0.6632 0.0000 Tm
0.0000 0.0000 0.0000 N
```

Computed properties:
Formation energy (no corrections), meV per atom: -197.1
Size of the total moment, μB/cell: 0.00
Electronic total energy, eV per formula unit: -37.525
Space group: No. 139